(1)
The following is a DFT calculation (PBE) of Rb5Pm2Br12 after structural relaxation.

a = 8.717 Å, b = 10.020 Å, c = 10.020 Å
α = 63.37°, β = 80.00°, γ = 80.00°
Element x y z (fractional)
Rb1 0.015 0.248 0.248
Rb2 0.520 0.366 0.366
Rb3 0.500 0.000 0.000
Rb4 0.480 0.634 0.634
Rb5 0.985 0.752 0.752
Pm1 0.000 0.752 0.248
Pm2 0.000 0.248 0.752
Br1 0.841 0.082 0.082
Br2 0.223 0.157 0.544
Br3 0.223 0.544 0.157
Br4 0.773 0.094 0.700
Br5 0.773 0.700 0.094
Br6 0.836 0.456 0.456
Br7 0.164 0.544 0.544
Br8 0.227 0.906 0.300
Br9 0.227 0.300 0.906
Br10 0.777 0.843 0.456
Br11 0.777 0.456 0.843
Br12 0.159 0.918 0.918

Computed properties:
- Crystal system: monoclinic
- Total magnetization: 0.00 μB/cell
- Total DFT energy (no corrections): -3.466 eV/atom
- SG: No. 12
- Calculated volume: 766 Å³/cell


(2)
The following is a DFT calculation (PBE) of KMg2Mn after structural relaxation.

a = 4.832 Å, b = 3.091 Å, c = 7.871 Å
α = 86.58°, β = 90.00°, γ = 90.00°
Last column: magnetic moment on the atom in μB.
Element x y z (fractional)
K1 0.500 0.674 0.742  0.00
Mg1 0.000 0.131 0.072  -0.02
Mg2 0.500 0.108 0.307  -0.03
Mn1 0.000 0.588 0.379  3.76

Computed properties:
- Crystal system: monoclinic
- Distance to the lowest polymorph of the same formula: 102 meV/atom
- Total magnetization: 3.83 μB/cell
- Formation energy from the elements: 453 meV per atom
- Total DFT energy (no corrections): -2.911 eV/atom
- SG: No. 6
- Calculated volume: 117 Å³/cell


(3)
The following is a DFT calculation (PBE) of Ac2GaPt5 after structural relaxation.

a = 6.506 Å, b = 6.506 Å, c = 6.506 Å
α = 85.14°, β = 122.84°, γ = 122.84°
Element x y z (fractional)
Ac1 0.500 0.233 0.733
Ac2 0.500 0.733 0.233
Ga1 0.000 0.025 0.025
Pt1 0.448 0.711 0.711
Pt2 0.000 0.711 0.263
Pt3 0.000 0.263 0.711
Pt4 0.552 0.263 0.263
Pt5 0.000 0.285 0.285

Computed properties:
- Crystal system: tetragonal
- Total magnetization: 0.00 μB/cell
- Formation energy from the elements: -891 meV per atom
- Total DFT energy (no corrections): -6.072 eV/atom
- SG: No. 107
- Calculated volume: 186 Å³/cell


(4)
The following is a DFT calculation (PBE) of LaNdEuZn after structural relaxation.

a = 5.561 Å, b = 5.561 Å, c = 5.561 Å
α = 60.00°, β = 60.00°, γ = 60.00°
Last column: magnetic moment on the atom in μB.
Element x y z (fractional)
Eu1 0.500 0.500 0.500  6.89
Zn1 0.000 0.000 0.000  -0.02
Nd1 0.250 0.250 0.250  0.05
La1 0.750 0.750 0.750  0.06

Computed properties:
- Crystal system: cubic
- Total magnetization: 7.29 μB/cell
- Formation energy from the elements: 30 meV per atom
- Total DFT energy (no corrections): -5.281 eV/atom
- SG: No. 216
- Calculated volume: 122 Å³/cell


(5)
The following is a DFT calculation (PBE) of TiNb3Ga after structural relaxation.

a = 4.752 Å, b = 4.752 Å, c = 4.752 Å
α = 90.00°, β = 90.00°, γ = 90.00°
Element x y z (fractional)
Nb1 0.000 0.500 0.000
Nb2 0.000 0.000 0.500
Nb3 0.500 0.000 0.000
Ga1 0.000 0.000 0.000
Ti1 0.500 0.500 0.500

Computed properties:
- Crystal system: cubic
- Distance to the lowest polymorph of the same formula: 241 meV/atom
- Total magnetization: 0.00 μB/cell
- Formation energy from the elements: 1031 meV per atom
- Total DFT energy (no corrections): -7.195 eV/atom
- SG: No. 221
- Calculated volume: 107 Å³/cell


(6)
The following is a DFT calculation (PBE) of GdErAl after structural relaxation.

a = 3.541 Å, b = 5.064 Å, c = 5.064 Å
α = 120.00°, β = 90.00°, γ = 90.00°
Last column: magnetic moment on the atom in μB.
Element x y z (fractional)
Gd1 0.958 0.000 0.000  7.10
Al1 0.646 0.667 0.333  -0.02
Er1 0.395 0.333 0.667  0.01

Computed properties:
- Crystal system: trigonal
- Distance to the lowest polymorph of the same formula: 98 meV/atom
- Total magnetization: 7.23 μB/cell
- Formation energy from the elements: -151 meV per atom
- Total DFT energy (no corrections): -7.613 eV/atom
- SG: No. 156
- Calculated volume: 79 Å³/cell


(7)
The following is a DFT calculation (PBE) of PmPa2Ge after structural relaxation.

a = 5.187 Å, b = 5.187 Å, c = 5.187 Å
α = 60.00°, β = 60.00°, γ = 60.00°
Element x y z (fractional)
Ge1 0.500 0.500 0.500
Pa1 0.250 0.250 0.250
Pa2 0.750 0.750 0.750
Pm1 0.000 0.000 0.000

Computed properties:
- Crystal system: cubic
- Distance to the lowest polymorph of the same formula: 391 meV/atom
- Total magnetization: 0.00 μB/cell
- Formation energy from the elements: 233 meV per atom
- Total DFT energy (no corrections): -6.857 eV/atom
- SG: No. 225
- Calculated volume: 99 Å³/cell


(8)
The following is a DFT calculation (PBE) of LaPrN after structural relaxation.

a = 3.999 Å, b = 5.471 Å, c = 7.909 Å
α = 90.00°, β = 75.64°, γ = 90.00°
Element x y z (fractional)
La1 0.072 0.250 0.854
La2 0.928 0.750 0.146
Pr1 0.340 0.250 0.326
Pr2 0.660 0.750 0.674
N1 0.925 0.250 0.152
N2 0.075 0.750 0.848

Computed properties:
- Crystal system: monoclinic
- Distance to the lowest polymorph of the same formula: 73 meV/atom
- Total magnetization: 0.00 μB/cell
- Total DFT energy (no corrections): -6.787 eV/atom
- SG: No. 11
- Calculated volume: 168 Å³/cell


(9)
The following is a DFT calculation (PBE) of Fe2AgIr after structural relaxation.

a = 5.179 Å, b = 5.179 Å, c = 5.179 Å
α = 147.89°, β = 129.24°, γ = 61.33°
Last column: magnetic moment on the atom in μB.
Element x y z (fractional)
Ag1 0.241 0.741 0.500  0.03
Fe1 0.982 0.982 0.000  2.80
Fe2 0.759 0.259 0.500  2.81
Ir1 0.518 0.518 0.000  0.49

Computed properties:
- Crystal system: orthorhombic
- Total magnetization: 6.13 μB/cell
- Formation energy from the elements: 249 meV per atom
- Total DFT energy (no corrections): -6.911 eV/atom
- SG: No. 44
- Calculated volume: 57 Å³/cell


(10)
The following is a DFT calculation (PBE) of CeHg2Bi2 after structural relaxation.

a = 5.346 Å, b = 5.346 Å, c = 12.734 Å
α = 90.00°, β = 90.00°, γ = 120.00°
Last column: magnetic moment on the atom in μB.
Element x y z (fractional)
Ce1 0.000 0.000 0.250  0.21
Ce2 0.000 0.000 0.750  0.21
Hg1 0.333 0.667 0.602  0.00
Hg2 0.667 0.333 0.102  0.00
Hg3 0.667 0.333 0.398  0.00
Hg4 0.333 0.667 0.898  0.00
Bi1 0.667 0.333 0.750  0.00
Bi2 0.000 0.000 0.000  0.00
Bi3 0.000 0.000 0.500  0.00
Bi4 0.333 0.667 0.250  0.00

Computed properties:
- Crystal system: hexagonal
- Distance to the lowest polymorph of the same formula: 173 meV/atom
- Total magnetization: 0.43 μB/cell
- Formation energy from the elements: -169 meV per atom
- Total DFT energy (no corrections): -3.029 eV/atom
- SG: No. 194
- Calculated volume: 315 Å³/cell


(11)
The following is a DFT calculation (PBE) of TbNd12Sm2 after structural relaxation.

a = 6.873 Å, b = 6.873 Å, c = 25.134 Å
α = 90.00°, β = 90.00°, γ = 63.52°
Element x y z (fractional)
Tb1 0.500 0.000 0.001
Tb2 0.000 0.500 0.999
Nd1 0.500 0.500 0.801
Nd2 0.000 0.000 0.801
Nd3 0.752 0.748 0.871
Nd4 0.252 0.752 0.926
Nd5 0.000 0.000 0.326
Nd6 0.248 0.748 0.074
Nd7 0.775 0.275 0.560
Nd8 0.500 0.500 0.326
Nd9 0.248 0.252 0.871
Nd10 0.748 0.752 0.129
Nd11 0.270 0.230 0.583
Nd12 0.725 0.225 0.440
Nd13 0.000 0.000 0.674
Nd14 0.230 0.270 0.417
Nd15 0.252 0.248 0.129
Nd16 0.770 0.730 0.417
Nd17 0.730 0.770 0.583
Nd18 0.000 0.000 0.199
Nd19 0.225 0.725 0.560
Nd20 0.500 0.500 0.674
Nd21 0.748 0.248 0.926
Nd22 0.500 0.500 0.199
Nd23 0.275 0.775 0.440
Nd24 0.752 0.252 0.074
Sm1 0.500 0.000 0.273
Sm2 0.000 0.500 0.267
Sm3 0.000 0.500 0.727
Sm4 0.500 0.000 0.733

Computed properties:
- Crystal system: orthorhombic
- Total magnetization: 0.00 μB/cell
- Formation energy from the elements: 151 meV per atom
- Total DFT energy (no corrections): -4.601 eV/atom
- SG: No. 67
- Calculated volume: 1063 Å³/cell


(12)
The following is a DFT calculation (PBE) of EuZnPb2 after structural relaxation.

a = 4.661 Å, b = 4.819 Å, c = 4.819 Å
α = 90.00°, β = 90.00°, γ = 90.00°
Last column: magnetic moment on the atom in μB.
Element x y z (fractional)
Pb1 0.000 0.000 0.500  -0.01
Pb2 0.000 0.500 0.000  -0.01
Eu1 0.500 0.500 0.500  6.79
Zn1 0.500 0.000 0.000  0.00

Computed properties:
- Crystal system: tetragonal
- Total magnetization: 6.94 μB/cell
- Formation energy from the elements: -280 meV per atom
- Total DFT energy (no corrections): -5.021 eV/atom
- SG: No. 123
- Calculated volume: 108 Å³/cell


(13)
The following is a DFT calculation (PBE) of Y2Cl2O after structural relaxation.

a = 4.990 Å, b = 4.990 Å, c = 5.645 Å
α = 63.77°, β = 63.77°, γ = 90.00°
Element x y z (fractional)
Y1 0.750 0.250 0.500
Y2 0.250 0.750 0.500
O1 0.000 0.000 0.000
Cl1 0.341 0.341 0.317
Cl2 0.659 0.659 0.683

Computed properties:
- Crystal system: tetragonal
- Distance to the lowest polymorph of the same formula: 1250 meV/atom
- Total magnetization: 0.00 μB/cell
- Total DFT energy (no corrections): -5.491 eV/atom
- SG: No. 139
- Calculated volume: 110 Å³/cell


(14)
The following is a DFT calculation (PBE) of LiNpH6Pt after structural relaxation.

a = 4.472 Å, b = 4.472 Å, c = 4.371 Å
α = 90.00°, β = 90.00°, γ = 60.00°
Last column: magnetic moment on the atom in μB.
Element x y z (fractional)
Li1 0.667 0.667 0.500  0.01
Np1 0.000 0.000 0.000  3.96
H1 0.011 0.495 0.212  0.00
H2 0.494 0.011 0.787  0.00
H3 0.494 0.495 0.787  0.00
H4 0.011 0.495 0.787  0.00
H5 0.494 0.495 0.213  0.00
H6 0.494 0.011 0.213  0.00
Pt1 0.333 0.333 0.500  0.10

Computed properties:
- Crystal system: hexagonal
- Total magnetization: 4.42 μB/cell
- Total DFT energy (no corrections): -4.718 eV/atom
- SG: No. 187
- Calculated volume: 76 Å³/cell


(15)
The following is a DFT calculation (PBE) of TeC4 after structural relaxation.

a = 9.030 Å, b = 9.030 Å, c = 9.030 Å
α = 160.97°, β = 160.97°, γ = 27.04°
Element x y z (fractional)
Te1 0.000 0.000 0.000
C1 0.750 0.250 0.500
C2 0.250 0.750 0.500
C3 0.716 0.716 0.000
C4 0.284 0.284 0.000

Computed properties:
- Crystal system: tetragonal
- Distance to the lowest polymorph of the same formula: 281 meV/atom
- Total magnetization: 0.00 μB/cell
- Total DFT energy (no corrections): -6.000 eV/atom
- SG: No. 139
- Calculated volume: 78 Å³/cell


(16)
The following is a DFT calculation (PBE) of Sr2Cu3Ge4Pd after structural relaxation.

a = 4.348 Å, b = 4.348 Å, c = 10.217 Å
α = 90.00°, β = 90.00°, γ = 90.00°
Element x y z (fractional)
Sr1 0.500 0.000 0.251
Sr2 0.000 0.500 0.749
Cu1 0.000 0.000 0.500
Cu2 0.500 0.000 0.873
Cu3 0.000 0.500 0.127
Ge1 0.500 0.500 0.000
Ge2 0.000 0.000 0.000
Ge3 0.500 0.000 0.627
Ge4 0.000 0.500 0.373
Pd1 0.500 0.500 0.500

Computed properties:
- Crystal system: tetragonal
- Total magnetization: 0.00 μB/cell
- Formation energy from the elements: -425 meV per atom
- Total DFT energy (no corrections): -4.356 eV/atom
- SG: No. 115
- Calculated volume: 193 Å³/cell


(17)
The following is a DFT calculation (PBE) of La2CeCo after structural relaxation.

a = 6.521 Å, b = 6.917 Å, c = 10.015 Å
α = 90.00°, β = 90.00°, γ = 90.00°
Element x y z (fractional)
La1 0.171 0.655 0.068
La2 0.329 0.155 0.432
La3 0.829 0.345 0.568
La4 0.671 0.845 0.932
La5 0.829 0.345 0.932
La6 0.671 0.845 0.568
La7 0.171 0.655 0.432
La8 0.329 0.155 0.068
Ce1 0.661 0.561 0.250
Ce2 0.839 0.061 0.250
Ce3 0.339 0.439 0.750
Ce4 0.161 0.939 0.750
Co1 0.004 0.347 0.250
Co2 0.496 0.847 0.250
Co3 0.996 0.653 0.750
Co4 0.504 0.153 0.750

Computed properties:
- Crystal system: orthorhombic
- Distance to the lowest polymorph of the same formula: 0 meV/atom
- Total magnetization: 0.05 μB/cell
- Formation energy from the elements: -124 meV per atom
- Total DFT energy (no corrections): -5.848 eV/atom
- SG: No. 62
- Calculated volume: 452 Å³/cell


(18)
The following is a DFT calculation (PBE) of La5Ge3O after structural relaxation.

a = 9.009 Å, b = 9.009 Å, c = 6.724 Å
α = 90.00°, β = 90.00°, γ = 120.00°
Element x y z (fractional)
La1 0.229 0.000 0.750
La2 0.771 0.000 0.250
La3 0.000 0.229 0.750
La4 0.000 0.771 0.250
La5 0.771 0.771 0.750
La6 0.229 0.229 0.250
La7 0.333 0.667 0.500
La8 0.667 0.333 0.500
La9 0.667 0.333 0.000
La10 0.333 0.667 0.000
Ge1 0.601 0.000 0.750
Ge2 0.399 0.000 0.250
Ge3 0.000 0.601 0.750
Ge4 0.000 0.399 0.250
Ge5 0.399 0.399 0.750
Ge6 0.601 0.601 0.250
O1 0.000 0.000 0.500
O2 0.000 0.000 0.000

Computed properties:
- Crystal system: hexagonal
- Distance to the lowest polymorph of the same formula: 4 meV/atom
- Total magnetization: 0.00 μB/cell
- Total DFT energy (no corrections): -6.094 eV/atom
- SG: No. 193
- Calculated volume: 473 Å³/cell